Entry P
The following is a PBE calculation of NaLaMg6 after structural relaxation, from Alexandria.

Cell lengths 6.969, 6.969, 5.263 Å; angles 90.00, 90.00, 123.20 degrees
Fractional positions:
La (0.182, 0.818, 0.000)
Na (0.352, 0.648, 0.500)
Mg (0.648, 0.352, 0.000)
Mg (0.832, 0.680, 0.500)
Mg (0.166, 0.309, 0.000)
Mg (0.320, 0.168, 0.500)
Mg (0.691, 0.834, 0.000)
Mg (0.810, 0.190, 0.500)

Summary:
volume	213.9	Å³ per cell
magnetic moment	0.00	μB per formula unit

=====

Entry Q
The following is a PBE calculation of NaLaMg6 after structural relaxation, from Alexandria.

Cell lengths 6.686, 6.686, 5.133 Å; angles 90.00, 90.00, 108.56 degrees
Fractional positions:
Mg (0.803, 0.619, 0.000)
Mg (0.600, 0.796, 0.500)
Mg (0.204, 0.400, 0.500)
Mg (0.323, 0.677, 0.000)
Mg (0.381, 0.197, 0.000)
Mg (0.885, 0.115, 0.000)
Na (0.688, 0.312, 0.500)
La (0.117, 0.883, 0.500)

Summary:
volume	217.5	Å³ per cell
magnetic moment	0.00	μB per formula unit

=====

Computed relative energies in units of meV per atom: entry P 15; entry Q 0